No. 1
An optimized crystal structure of Cs2TiGe3O9. Source: Alexandria, functional GGA-PBEsol.

Cell: 7.1877 7.1877 10.4239 Å, 90.00 90.00 120.00°
Space group P6_3/m (No. 176)
Inequivalent atoms, fractional coordinates:
Cs 0.3333 0.6667 0.0561 (multiplicity 4)
Ti 0.0000 0.0000 0.0000 (multiplicity 2)
Ge 0.1371 0.7687 0.7500 (multiplicity 6)
O 0.0287 0.7920 0.6070 (multiplicity 12)
O 0.0686 0.4905 0.7500 (multiplicity 6)

**Formation energy from raw total energies**: -30.85 eV per formula unit
**Uncorrected energy**: -206.23 eV/cell
**Total magnetization**: 0.0 Bohr magnetons per cell

***

No. 2
An optimized crystal structure of CsGe3Os. Source: Alexandria, functional GGA-PBEsol.

Cell: 5.358 5.358 5.358 Å, 90.00 90.00 90.00°
Space group Pm-3m (No. 221)
Inequivalent atoms, fractional coordinates:
Cs 0.000 0.000 0.000 (multiplicity 1)
Ge 0.000 0.000 0.500 (multiplicity 3)
Os 0.500 0.500 0.500 (multiplicity 1)

**ΔE_f**: 2972 meV per atom
**Uncorrected energy**: -13.11 eV/cell
**Total magnetization**: 2.6 Bohr magnetons per cell

***

No. 3
An optimized crystal structure of CsGeP3. Source: Alexandria, functional GGA-PBEsol.

Cell: 5.214 5.214 5.214 Å, 90.00 90.00 90.00°
Space group Pm-3m (No. 221)
Inequivalent atoms, fractional coordinates:
Cs 0.000 0.000 0.000 (multiplicity 1)
Ge 0.500 0.500 0.500 (multiplicity 1)
P 0.000 0.000 0.500 (multiplicity 3)

**ΔE_f**: 2132 meV per atom
**Uncorrected energy**: -12.60 eV/cell
**Total magnetization**: 0.0 Bohr magnetons per cell

***

No. 4
An optimized crystal structure of CsGePS2. Source: Alexandria, functional GGA-PBEsol.

Cell: 5.290 5.290 5.268 Å, 90.00 90.00 90.00°
Space group P4/mmm (No. 123)
Inequivalent atoms, fractional coordinates:
Cs 0.000 0.000 0.000 (multiplicity 1)
Ge 0.500 0.500 0.500 (multiplicity 1)
P 0.000 0.000 0.500 (multiplicity 1)
S 0.000 0.500 0.000 (multiplicity 2)

**Formation energy from raw total energies**: 8.04 eV per formula unit
**Uncorrected energy**: -12.40 eV/cell
**Excess energy over the best structure of this formula in the dataset**: 1553.1 meV per atom
**Total magnetization**: 0.0 Bohr magnetons per cell

***

No. 5
An optimized crystal structure of CsGePS2. Source: Alexandria, functional GGA-PBEsol.

Cell: 4.970 4.970 4.762 Å, 90.00 90.00 90.00°
Space group P4/mmm (No. 123)
Inequivalent atoms, fractional coordinates:
Cs 0.000 0.000 0.000 (multiplicity 1)
Ge 0.500 0.500 0.500 (multiplicity 1)
P 0.500 0.500 0.000 (multiplicity 1)
S 0.000 0.500 0.500 (multiplicity 2)

**Formation energy from raw total energies**: 0.27 eV per formula unit
**Uncorrected energy**: -20.17 eV/cell
**Excess energy over the best structure of this formula in the dataset**: 0.0 meV per atom
**Total magnetization**: 0.0 Bohr magnetons per cell

***

No. 6
An optimized crystal structure of CsGePt3. Source: Alexandria, functional GGA-PBEsol.

Cell: 4.812 4.812 4.812 Å, 90.00 90.00 90.00°
Space group Pm-3m (No. 221)
Inequivalent atoms, fractional coordinates:
Cs 0.000 0.000 0.000 (multiplicity 1)
Ge 0.500 0.500 0.500 (multiplicity 1)
Pt 0.000 0.500 0.500 (multiplicity 3)

**ΔE_f**: 413 meV per atom
**Uncorrected energy**: -24.71 eV/cell
**Total magnetization**: 0.0 Bohr magnetons per cell